(1)
This record from Alexandria via LeMat-Bulk describes a geometry-optimized SiHOF2 structure. The functional is GGA-PBEsol. Values from VASP.

VASP energy   -4.34 eV per atom
Total magnetic moment   0.00 μB/cell

```
&SYSTEM
  ibrav = 0, nat = 5, ntyp = 4
/
ATOMIC_SPECIES
Si 28.09 Si.upf
H 1.01 H.upf
O 16.00 O.upf
F 19.00 F.upf
ATOMIC_POSITIONS crystal
Si 0.000 0.000 0.000
H 0.500 0.500 0.500
O 0.500 0.500 0.000
F 0.000 0.500 0.500
F 0.500 0.000 0.500
CELL_PARAMETERS angstrom
3.036 0.000 0.000
0.000 3.036 0.000
0.000 0.000 4.099
```

=====

(2)
This record from Alexandria via LeMat-Bulk describes a geometry-optimized ZnSiH12O6F6 structure. The functional is GGA-PBEsol. Values from VASP.

VASP energy   -5.11 eV per atom
Total magnetic moment   0.00 μB/cell

```
&SYSTEM
  ibrav = 0, nat = 26, ntyp = 5
/
ATOMIC_SPECIES
Zn 65.41 Zn.upf
Si 28.09 Si.upf
H 1.01 H.upf
O 16.00 O.upf
F 19.00 F.upf
ATOMIC_POSITIONS crystal
Zn 0.000 0.000 0.000
Si 0.500 0.500 0.500
H 0.063 0.411 0.193
H 0.184 0.684 0.793
H 0.193 0.063 0.411
H 0.207 0.816 0.316
H 0.316 0.207 0.816
H 0.411 0.193 0.063
H 0.589 0.807 0.937
H 0.684 0.793 0.184
H 0.793 0.184 0.684
H 0.807 0.937 0.589
H 0.816 0.316 0.207
H 0.937 0.589 0.807
O 0.061 0.693 0.878
O 0.122 0.939 0.307
O 0.307 0.122 0.939
O 0.693 0.878 0.061
O 0.878 0.061 0.693
O 0.939 0.307 0.122
F 0.302 0.569 0.319
F 0.319 0.302 0.569
F 0.431 0.681 0.698
F 0.569 0.319 0.302
F 0.681 0.698 0.431
F 0.698 0.431 0.681
CELL_PARAMETERS angstrom
4.673 2.698 3.182
-4.673 2.698 3.182
0.000 -5.396 3.182
```

=====

(3)
This record from Alexandria via LeMat-Bulk describes a geometry-optimized SrHOF2 structure. The functional is GGA-PBEsol. Values from VASP.

VASP energy   -3.87 eV per atom
Total magnetic moment   2.83 μB/cell

```
&SYSTEM
  ibrav = 0, nat = 5, ntyp = 4
/
ATOMIC_SPECIES
Sr 87.62 Sr.upf
H 1.01 H.upf
O 16.00 O.upf
F 19.00 F.upf
ATOMIC_POSITIONS crystal
Sr 0.000 0.000 0.000
H 0.500 0.500 0.500
O 0.000 0.000 0.500
F 0.000 0.500 0.000
F 0.500 0.000 0.000
CELL_PARAMETERS angstrom
4.688 0.000 0.000
0.000 4.688 0.000
0.000 0.000 5.259
```

=====

(4)
This record from Alexandria via LeMat-Bulk describes a geometry-optimized SrTiH4O2F6 structure. The functional is GGA-PBEsol. Values from VASP.

VASP energy   -5.79 eV per atom
Total magnetic moment   0.26 μB/cell

```
&SYSTEM
  ibrav = 0, nat = 56, ntyp = 5
/
ATOMIC_SPECIES
Sr 87.62 Sr.upf
Ti 47.87 Ti.upf
H 1.01 H.upf
O 16.00 O.upf
F 19.00 F.upf
ATOMIC_POSITIONS crystal
Sr 0.232 0.176 0.050
Sr 0.232 0.324 0.550
Sr 0.768 0.676 0.450
Sr 0.768 0.824 0.950
Ti 0.132 0.535 0.227
Ti 0.132 0.965 0.727
Ti 0.868 0.035 0.273
Ti 0.868 0.465 0.773
H 0.219 0.604 0.675
H 0.219 0.896 0.175
H 0.300 0.658 0.565
H 0.300 0.842 0.065
H 0.312 0.656 0.939
H 0.312 0.844 0.439
H 0.463 0.647 0.081
H 0.463 0.853 0.581
H 0.537 0.147 0.419
H 0.537 0.353 0.919
H 0.688 0.156 0.561
H 0.688 0.344 0.061
H 0.700 0.158 0.935
H 0.700 0.342 0.435
H 0.781 0.104 0.825
H 0.781 0.396 0.325
O 0.199 0.588 0.588
O 0.199 0.912 0.088
O 0.426 0.707 0.010
O 0.426 0.793 0.510
O 0.574 0.207 0.490
O 0.574 0.293 0.990
O 0.801 0.088 0.912
O 0.801 0.412 0.412
F 0.003 0.153 0.187
F 0.003 0.347 0.687
F 0.006 0.139 0.413
F 0.006 0.361 0.913
F 0.151 0.573 0.813
F 0.151 0.927 0.313
F 0.269 0.093 0.652
F 0.269 0.407 0.152
F 0.278 0.058 0.876
F 0.278 0.442 0.376
F 0.411 0.646 0.262
F 0.411 0.854 0.762
F 0.589 0.146 0.238
F 0.589 0.354 0.738
F 0.722 0.558 0.624
F 0.722 0.942 0.124
F 0.731 0.593 0.848
F 0.731 0.907 0.348
F 0.849 0.073 0.687
F 0.849 0.427 0.187
F 0.994 0.639 0.087
F 0.994 0.861 0.587
F 0.997 0.653 0.313
F 0.997 0.847 0.813
CELL_PARAMETERS angstrom
5.938 0.000 0.000
0.000 9.668 0.000
-4.042 0.000 10.972
```